Below is an optimized crystal structure of BaSiOs3, with properties calculated at the PBEsol level.

Geometry as POSCAR:
```
BaSiOs3
1.0
4.575 0.000 0.000
0.000 4.575 0.000
0.000 0.000 4.575
Os Si Ba
3 1 1
Direct
0.500 0.000 0.000
0.000 0.500 0.000
0.000 0.000 0.500
0.000 0.000 0.000
0.500 0.500 0.500
```

E   -7.83 eV/atom
Theoretical density   12.762 g cm⁻³
Formation energy without anion corrections   1.08 eV per atom
Energy above the most stable polymorph in this dataset   0.000 eV/f.u.